[1]
## ZrTaNb2Co (PBE)

Data for ZrTaNb2Co after structural relaxation.

## Properties
- ρ: 7.41 g/cm³
- Density of states at the Fermi level: 10.04 states/eV/f.u.

a = 4.8483 Å, b = 4.8483 Å, c = 4.9293 Å
α = 90.00°, β = 90.00°, γ = 90.00°
Element x y z (fractional)
Zr  0.0000  0.0000  0.0000
Ta  0.0000  0.0000  0.5000
Nb  0.0000  0.5000  0.0000
Nb  0.5000  0.0000  0.0000
Co  0.5000  0.5000  0.5000

=====

[2]
## TbNb2Co9 (PBE)

Data for TbNb2Co9 after structural relaxation.

## Properties
- ρ: 9.23 g/cm³
- Density of states at the Fermi level: 17.77 states/eV/f.u.

a = 8.2965 Å, b = 8.2965 Å, c = 8.2965 Å
α = 33.80°, β = 33.80°, γ = 33.80°
Element x y z (fractional)
Tb  0.0000  0.0000  0.0000
Nb  0.1405  0.1405  0.1405
Nb  0.8595  0.8595  0.8595
Co  0.0793  0.5895  0.5895
Co  0.3355  0.3355  0.3355
Co  0.4105  0.4105  0.9207
Co  0.4105  0.9207  0.4105
Co  0.5000  0.5000  0.5000
Co  0.5895  0.0793  0.5895
Co  0.5895  0.5895  0.0793
Co  0.6645  0.6645  0.6645
Co  0.9207  0.4105  0.4105

=====

[3]
## TbNbCo2 (PBE)

Data for TbNbCo2 after structural relaxation.

## Properties
- ρ: 9.35 g/cm³
- Density of states at the Fermi level: 3.94 states/eV/f.u.

a = 4.6030 Å, b = 4.6030 Å, c = 3.0982 Å
α = 90.00°, β = 90.00°, γ = 90.00°
Element x y z (fractional)
Tb  0.0000  0.0000  0.0000
Nb  0.5000  0.5000  0.0000
Co  0.0000  0.5000  0.5000
Co  0.5000  0.0000  0.5000

=====

[4]
## TbNbCo4 (PBE)

Data for TbNbCo4 after structural relaxation.

## Properties
- ρ: 9.69 g/cm³
- Density of states at the Fermi level: 8.02 states/eV/f.u.

a = 4.9078 Å, b = 4.9078 Å, c = 4.9078 Å
α = 60.00°, β = 60.00°, γ = 60.00°
Element x y z (fractional)
Tb  0.0000  0.0000  0.0000
Nb  0.2500  0.2500  0.2500
Co  0.1245  0.6252  0.6252
Co  0.6252  0.1245  0.6252
Co  0.6252  0.6252  0.1245
Co  0.6252  0.6252  0.6252

=====

no.,formation enthalpy at 0 K (eV per atom)
1,2.112
2,-0.134
3,0.041
4,-0.074